Entry 1:
HfMnCu3: optimized geometry, PBE-GGA.

Unit cell a=4.4135 b=4.4135 c=4.4135 alpha=90.00 beta=90.00 gamma=90.00
With the nearest neighbours (Å) after each atom.
Space group Pm-3m (No. 221)
Inequivalent atoms, fractional coordinates:
Hf1 0.0000 0.0000 0.0000 x1  12 Cu 3.12
Mn1 0.5000 0.5000 0.5000 x1  6 Cu 2.21
Cu1 0.0000 0.5000 0.5000 x3  2 Mn 2.21

Results
Its crystal system is cubic. The calculation puts the energy of formation at 0.82 eV/atom. As for the energy above the most stable polymorph in this dataset: 0.0 meV per atom. Its calculated total energy is -5.459 eV per atom.

Entry 2:
Tl5Os: optimized geometry, PBE-GGA.

Unit cell a=5.9809 b=5.9809 c=5.9777 alpha=90.00 beta=90.00 gamma=120.00
With the nearest neighbours (Å) after each atom.
Space group P6/mmm (No. 191)
Inequivalent atoms, fractional coordinates:
Tl1 0.0000 0.5000 0.0000 x3  4 Tl 2.99
Tl2 0.3333 0.6667 0.5000 x2  9 Tl 3.45, 3 Os 3.45
Os1 0.0000 0.0000 0.5000 x1  6 Tl 3.45

Results
Its crystal system is hexagonal. The calculation puts the energy of formation at 1.11 eV/atom. As for the energy above the most stable polymorph in this dataset: 675.5 meV per atom. Its calculated total energy is -2.733 eV per atom.

Entry 3:
Rb2MnWBr6: optimized geometry, PBE-GGA.

Unit cell a=7.6169 b=7.6169 c=10.7469 alpha=90.00 beta=90.00 gamma=90.00
With the nearest neighbours (Å) after each atom.
Space group I4/mmm (No. 139)
Inequivalent atoms, fractional coordinates:
Rb1 0.0000 0.5000 0.2500 x4  12 Br 3.80-3.81
Mn1 0.0000 0.0000 0.0000 x2  6 Br 2.72-2.74
W1 0.0000 0.0000 0.5000 x2  6 Br 2.65
Br1 0.0000 0.0000 0.2531 x4  1 W 2.65, 1 Mn 2.72
Br2 0.2459 0.2459 0.5000 x8  1 W 2.65, 1 Mn 2.74

Results
Its crystal system is tetragonal. For the raw formation energy, the calculation gives -7.60 eV/f.u. Its calculated total energy is -4.169 eV per atom.

Entry 4:
BaNdNpN3: optimized geometry, PBE-GGA.

Unit cell a=7.0323 b=3.7322 c=10.3797 alpha=90.00 beta=107.16 gamma=90.00
With the nearest neighbours (Å) after each atom.
Space group P2_1/m (No. 11)
Inequivalent atoms, fractional coordinates:
Ba1 0.2424 0.2500 0.2075 x2  3 N 2.70-2.76
Nd1 0.3268 0.2500 0.8760 x2  6 N 2.39-2.64
Np1 0.1023 0.7500 0.5725 x2  1 N 1.92
N1 0.0086 0.2500 0.6629 x2  3 Np 2.27-2.34
N2 0.3181 0.7500 0.0333 x2  3 Nd 2.39-2.49
N3 0.3558 0.7500 0.7085 x2  1 Np 1.92

Results
Its crystal system is monoclinic. For the raw formation energy, the calculation gives -5.15 eV/f.u. Its calculated total energy is -8.293 eV per atom.

Q: Among the records above, which one has the highest calculated total energy?
A: Tl5Os